[1]
## MnAlPb (PBE)

Data for crystalline MnAlPb at its relaxed geometry.

Lattice parameters (Å, degrees): 6.010 6.010 6.010 148.84 147.77 45.44
Positions (direct):
Mn 0.000 0.000 0.000
Al 0.606 0.606 0.000
Pb 0.316 0.316 0.000

## Properties
The value obtained for the calculated total energy is -5.27 eV per atom. The value obtained for the relative energy among the computed polymorphs is 0 meV per atom.


[2]
## Mn2AlPb (PBE)

Data for crystalline Mn2AlPb at its relaxed geometry.

Lattice parameters (Å, degrees): 8.865 8.865 8.865 20.37 20.37 20.37
Positions (direct):
Mn 0.241 0.241 0.241
Mn 0.759 0.759 0.759
Al 0.500 0.500 0.500
Pb 0.000 0.000 0.000

## Properties
The value obtained for the calculated total energy is -6.09 eV per atom. The value obtained for the relative energy among the computed polymorphs is 124 meV per atom.


[3]
## Mn2AlPb (PBE)

Data for crystalline Mn2AlPb at its relaxed geometry.

Lattice parameters (Å, degrees): 4.630 4.630 5.617 99.97 99.97 38.42
Positions (direct):
Mn 0.244 0.244 0.202
Mn 0.756 0.756 0.798
Al 0.500 0.500 0.000
Pb 0.000 0.000 0.500

## Properties
The value obtained for the calculated total energy is -6.11 eV per atom. The value obtained for the relative energy among the computed polymorphs is 103 meV per atom.


[4]
## Mn2AlPb (PBE)

Data for crystalline Mn2AlPb at its relaxed geometry.

Lattice parameters (Å, degrees): 4.575 4.575 4.575 60.00 60.00 60.00
Positions (direct):
Mn 0.250 0.250 0.250
Mn 0.750 0.750 0.750
Al 0.000 0.000 0.000
Pb 0.500 0.500 0.500

## Properties
The value obtained for the calculated total energy is -6.06 eV per atom. The value obtained for the relative energy among the computed polymorphs is 152 meV per atom.


no.,mass density (g/cm³)
1,8.04
2,7.74
3,7.77
4,8.44